Record 1
Compound: Sc2MnWBr
Source: Alexandria
Functional: PBE
Structure: relaxed

abc: 5.0886 5.0886 4.3366
angles: 90.00 90.00 90.00
Space group P4/mmm (No. 123)
One atom of each set of equivalent atoms:
1 Sc 0.0000 0.5000 0.0000 [2 per cell]
2 Mn 0.0000 0.0000 0.0000 [1 per cell]
3 W 0.0000 0.0000 0.5000 [1 per cell]
4 Br 0.5000 0.5000 0.5000 [1 per cell]

- formation energy from raw total energies (eV/atom) = 0.51
- total energy (eV/atom) = -6.783
- magnetization (μB/f.u.) = 0.0

***

Record 2
Compound: Sm8MgAg2
Source: Alexandria
Functional: PBE
Structure: relaxed

abc: 18.1261 5.2958 7.3007
angles: 90.00 107.94 90.00
Space group C2/m (No. 12)
One atom of each set of equivalent atoms:
1 Sm 0.0296 0.0000 0.2645 [4 per cell]
2 Sm 0.0927 0.5000 0.9689 [4 per cell]
3 Sm 0.1723 0.5000 0.4715 [4 per cell]
4 Sm 0.1894 0.0000 0.8000 [4 per cell]
5 Mg 0.0000 0.5000 0.5000 [2 per cell]
6 Ag 0.1856 0.0000 0.2029 [4 per cell]

- total energy (eV/atom) = -4.161
- magnetization (μB/f.u.) = 0.0
- energy of formation from the pure elements (eV per atom) = -0.065

***

Record 3
Compound: La4Nd8Sc
Source: Alexandria
Functional: PBE
Structure: relaxed

abc: 11.8700 11.8700 11.6652
angles: 90.00 90.00 120.00
Space group R-3m (No. 166, hexagonal axes)
One atom of each set of equivalent atoms:
1 La 0.0000 0.0000 0.0000 [3 per cell]
2 La 0.0000 0.5000 0.0000 [9 per cell]
3 Nd 0.0000 0.0000 0.2435 [6 per cell]
4 Nd 0.0015 0.5007 0.6655 [18 per cell]
5 Sc 0.0000 0.0000 0.5000 [3 per cell]

- total energy (eV/atom) = -4.566
- magnetization (μB/f.u.) = 0.0
- energy of formation from the pure elements (eV per atom) = 0.371

***

Record 4
Compound: Ca4Pa3SnN8
Source: Alexandria
Functional: PBE
Structure: relaxed

abc: 7.1898 7.1898 16.9465
angles: 90.00 90.00 120.00
Space group R-3m (No. 166, hexagonal axes)
One atom of each set of equivalent atoms:
1 Ca 0.0000 0.0000 0.0000 [3 per cell]
2 Ca 0.0000 0.5000 0.0000 [9 per cell]
3 Pa 0.0000 0.5000 0.5000 [9 per cell]
4 Sn 0.0000 0.0000 0.5000 [3 per cell]
5 N 0.0000 0.0000 0.2406 [6 per cell]
6 N 0.0345 0.5173 0.7621 [18 per cell]

- formation energy from raw total energies (eV/atom) = -1.21
- total energy (eV/atom) = -7.899
- magnetization (μB/f.u.) = 0.0

***

Record 5
Compound: Er6Cu5Ir
Source: Alexandria
Functional: PBE
Structure: relaxed

abc: 4.8459 6.8815 14.5391
angles: 90.00 90.00 90.00
Space group Immm (No. 71)
One atom of each set of equivalent atoms:
1 Er 0.0000 0.2451 0.0000 [4 per cell]
2 Er 0.0000 0.2529 0.3360 [8 per cell]
3 Cu 0.0000 0.0000 0.1697 [4 per cell]
4 Cu 0.0000 0.0000 0.5000 [2 per cell]
5 Cu 0.0000 0.5000 0.1653 [4 per cell]
6 Ir 0.0000 0.5000 0.5000 [2 per cell]

- total energy (eV/atom) = -5.132
- magnetization (μB/f.u.) = 0.0
- energy of formation from the pure elements (eV per atom) = -0.405

***

Record 6
Compound: Pr2Sm4O
Source: Alexandria
Functional: PBE
Structure: relaxed

abc: 4.9177 4.9177 17.9837
angles: 90.00 90.00 90.00
Space group I4/mmm (No. 139)
One atom of each set of equivalent atoms:
1 Pr 0.0000 0.0000 0.1652 [4 per cell]
2 Sm 0.0000 0.0000 0.3654 [4 per cell]
3 Sm 0.0000 0.5000 0.0000 [4 per cell]
4 O 0.0000 0.0000 0.5000 [2 per cell]

- formation energy from raw total energies (eV/atom) = -0.64
- total energy (eV/atom) = -5.414
- magnetization (μB/f.u.) = 0.0

***

Record 7
Compound: USi4Pt2
Source: Alexandria
Functional: PBE
Structure: relaxed

abc: 18.2089 4.0107 6.5024
angles: 90.00 90.00 90.00
Space group Pnma (No. 62)
One atom of each set of equivalent atoms:
1 U 0.1405 0.2500 0.0267 [4 per cell]
2 Si 0.0417 0.7500 0.8799 [4 per cell]
3 Si 0.0655 0.2500 0.4431 [4 per cell]
4 Si 0.1940 0.7500 0.7394 [4 per cell]
5 Si 0.1971 0.7500 0.2975 [4 per cell]
6 Pt 0.0138 0.7500 0.2572 [4 per cell]
7 Pt 0.2010 0.2500 0.5180 [4 per cell]

- formation energy from raw total energies (eV/atom) = -0.51
- total energy (eV/atom) = -6.945
- magnetization (μB/f.u.) = 2.0

***

Record 8
Compound: CuSiPdPb2
Source: Alexandria
Functional: PBE
Structure: relaxed

abc: 5.2950 5.2950 4.3254
angles: 90.00 90.00 90.00
Space group P4/mmm (No. 123)
One atom of each set of equivalent atoms:
1 Cu 0.0000 0.0000 0.0000 [1 per cell]
2 Si 0.0000 0.0000 0.5000 [1 per cell]
3 Pd 0.5000 0.5000 0.5000 [1 per cell]
4 Pb 0.0000 0.5000 0.0000 [2 per cell]

- formation energy from raw total energies (eV/atom) = 0.48
- total energy (eV/atom) = -3.949
- magnetization (μB/f.u.) = 0.0

***

Record 9
Compound: Pm3Sm2Ho6In
Source: Alexandria
Functional: PBE
Structure: relaxed

abc: 6.1214 10.6080 11.7289
angles: 90.00 100.05 90.00
Space group C2/m (No. 12)
One atom of each set of equivalent atoms:
1 Pm 0.0000 0.0000 0.0000 [2 per cell]
2 Pm 0.0000 0.3328 0.0000 [4 per cell]
3 Sm 0.0000 0.1663 0.5000 [4 per cell]
4 Ho 0.2453 0.3363 0.7457 [8 per cell]
5 Ho 0.2456 0.5000 0.2534 [4 per cell]
6 In 0.0000 0.5000 0.5000 [2 per cell]

- total energy (eV/atom) = -4.542
- magnetization (μB/f.u.) = 0.0
- energy of formation from the pure elements (eV per atom) = -0.051

***

Record 10
Compound: TbDyErIn
Source: Alexandria
Functional: PBE
Structure: relaxed

abc: 4.8346 4.8360 4.8367
angles: 90.00 90.00 90.00
Space group Pmmm (No. 47)
One atom of each set of equivalent atoms:
1 Tb 0.0000 0.0000 0.0000 [1 per cell]
2 Dy 0.5000 0.0000 0.5000 [1 per cell]
3 Er 0.5000 0.5000 0.0000 [1 per cell]
4 In 0.0000 0.5000 0.5000 [1 per cell]

- total energy (eV/atom) = -4.399
- magnetization (μB/f.u.) = 0.1
- energy of formation from the pure elements (eV per atom) = -0.266

***

Record 11
Compound: Th2Sc
Source: Alexandria
Functional: PBE
Structure: relaxed

abc: 3.5638 4.7575 10.4930
angles: 90.00 90.00 90.00
Space group Immm (No. 71)
One atom of each set of equivalent atoms:
1 Th 0.0000 0.0000 0.1649 [4 per cell]
2 Sc 0.0000 0.0000 0.5000 [2 per cell]

- total energy (eV/atom) = -7.020
- magnetization (μB/f.u.) = 0.0
- energy of formation from the pure elements (eV per atom) = 0.037

***

Record 12
Compound: Be2HgOs2
Source: Alexandria
Functional: PBE
Structure: relaxed

abc: 6.3221 6.3221 3.1862
angles: 90.00 90.00 90.00
Space group P4/mbm (No. 127)
One atom of each set of equivalent atoms:
1 Be 0.1199 0.3801 0.0000 [4 per cell]
2 Hg 0.0000 0.0000 0.0000 [2 per cell]
3 Os 0.1628 0.6628 0.5000 [4 per cell]

- total energy (eV/atom) = -5.723
- magnetization (μB/f.u.) = 0.0
- energy of formation from the pure elements (eV per atom) = 0.320

***

Record 13
Compound: Hf8ZnSn2
Source: Alexandria
Functional: PBE
Structure: relaxed

abc: 15.7162 4.3476 7.2892
angles: 90.00 108.49 90.00
Space group C2/m (No. 12)
One atom of each set of equivalent atoms:
1 Hf 0.0461 0.0000 0.2467 [4 per cell]
2 Hf 0.0878 0.5000 0.9499 [4 per cell]
3 Hf 0.1369 0.0000 0.6902 [4 per cell]
4 Hf 0.1803 0.5000 0.4196 [4 per cell]
5 Zn 0.0000 0.5000 0.5000 [2 per cell]
6 Sn 0.2216 0.0000 0.1500 [4 per cell]

- total energy (eV/atom) = -8.237
- magnetization (μB/f.u.) = 0.0
- energy of formation from the pure elements (eV per atom) = -0.155

***

Record 14
Compound: Pm6GaSi2I3
Source: Alexandria
Functional: PBE
Structure: relaxed

abc: 7.5016 12.9970 7.9783
angles: 90.00 108.25 90.00
Space group C2/m (No. 12)
One atom of each set of equivalent atoms:
1 Pm 0.2308 0.0000 0.2008 [4 per cell]
2 Pm 0.2348 0.3318 0.2007 [8 per cell]
3 Ga 0.0000 0.5000 0.0000 [2 per cell]
4 Si 0.0000 0.1664 0.0000 [4 per cell]
5 I 0.0000 0.0000 0.5000 [2 per cell]
6 I 0.0000 0.3333 0.5000 [4 per cell]

- formation energy from raw total energies (eV/atom) = -0.88
- total energy (eV/atom) = -4.801
- magnetization (μB/f.u.) = 0.0

***

Record 15
Compound: AcSm2Ho4
Source: Alexandria
Functional: PBE
Structure: relaxed

abc: 8.2937 8.3128 8.7656
angles: 64.11 64.53 85.77
Space group P1 (No. 1)
One atom of each set of equivalent atoms:
1 Ac 0.0000 0.0000 0.0000 [1 per cell]
2 Ac 0.1559 0.1514 0.3230 [1 per cell]
3 Sm 0.0404 0.6468 0.4932 [1 per cell]
4 Sm 0.2862 0.8684 0.6637 [1 per cell]
5 Sm 0.5081 0.1106 0.8317 [1 per cell]
6 Sm 0.8353 0.4937 0.2741 [1 per cell]
7 Ho 0.1252 0.4423 0.8953 [1 per cell]
8 Ho 0.3365 0.6336 0.0641 [1 per cell]
9 Ho 0.3756 0.3535 0.4894 [1 per cell]
10 Ho 0.5180 0.8167 0.2645 [1 per cell]
11 Ho 0.5748 0.5739 0.6665 [1 per cell]
12 Ho 0.6540 0.3158 0.0574 [1 per cell]
13 Ho 0.7130 0.0220 0.4314 [1 per cell]
14 Ho 0.7984 0.7719 0.8395 [1 per cell]

- total energy (eV/atom) = -4.413
- magnetization (μB/f.u.) = 0.0
- energy of formation from the pure elements (eV per atom) = 0.138

***

Record 16
Compound: NaLaI3
Source: Alexandria
Functional: PBE
Structure: relaxed

abc: 6.2592 6.2592 6.2592
angles: 90.00 90.00 90.00
Space group Pm-3m (No. 221)
One atom of each set of equivalent atoms:
1 Na 0.0000 0.0000 0.0000 [1 per cell]
2 La 0.5000 0.5000 0.5000 [1 per cell]
3 I 0.0000 0.5000 0.5000 [3 per cell]

- formation energy from raw total energies (eV/atom) = -1.06
- total energy (eV/atom) = -3.243
- magnetization (μB/f.u.) = 0.0

***

Record 17
Compound: La2InC
Source: Alexandria
Functional: PBE
Structure: relaxed

abc: 7.3820 7.3820 7.3820
angles: 90.00 90.00 90.00
Space group Fm-3m (No. 225)
One atom of each set of equivalent atoms:
1 La 0.2500 0.2500 0.2500 [8 per cell]
2 In 0.0000 0.0000 0.0000 [4 per cell]
3 C 0.0000 0.0000 0.5000 [4 per cell]

- total energy (eV/atom) = -4.885
- magnetization (μB/f.u.) = 0.0
- energy of formation from the pure elements (eV per atom) = 0.570

***

Record 18
Compound: Cd3NiC
Source: Alexandria
Functional: PBE
Structure: relaxed

abc: 4.9286 4.9286 4.9286
angles: 90.00 90.00 90.00
Space group Pm-3m (No. 221)
One atom of each set of equivalent atoms:
1 Cd 0.0000 0.0000 0.5000 [3 per cell]
2 Ni 0.0000 0.0000 0.0000 [1 per cell]
3 C 0.5000 0.5000 0.5000 [1 per cell]

- total energy (eV/atom) = -2.066
- magnetization (μB/f.u.) = 1.9
- energy of formation from the pure elements (eV per atom) = 1.484

***

Record 19
Compound: LaPrO
Source: Alexandria
Functional: PBE
Structure: relaxed

abc: 3.7568 3.7568 18.6818
angles: 90.00 90.00 120.00
Space group R3m (No. 160, hexagonal axes)
One atom of each set of equivalent atoms:
1 La 0.0000 0.0000 0.0000 [3 per cell]
2 Pr 0.0000 0.0000 0.4800 [3 per cell]
3 O 0.0000 0.0000 0.7383 [3 per cell]

- formation energy from raw total energies (eV/atom) = -1.69
- total energy (eV/atom) = -6.574
- magnetization (μB/f.u.) = 0.4

***

Record 20
Compound: PmPrTlI
Source: Alexandria
Functional: PBE
Structure: relaxed

abc: 7.8888 7.8888 7.8888
angles: 90.00 90.00 90.00
Space group F-43m (No. 216)
One atom of each set of equivalent atoms:
1 Pm 0.0000 0.0000 0.0000 [4 per cell]
2 Pr 0.0000 0.0000 0.5000 [4 per cell]
3 Tl 0.2500 0.2500 0.2500 [4 per cell]
4 I 0.2500 0.2500 0.7500 [4 per cell]

- formation energy from raw total energies (eV/atom) = -0.49
- total energy (eV/atom) = -3.855
- magnetization (μB/f.u.) = 0.0

***

Record 21
Compound: LaPr2DyTm4
Source: Alexandria
Functional: PBE
Structure: relaxed

abc: 6.7954 11.8653 13.2561
angles: 90.00 90.00 90.00
Space group Imma (No. 74)
One atom of each set of equivalent atoms:
1 La 0.0000 0.0000 0.0000 [4 per cell]
2 Pr 0.0000 0.0000 0.5000 [4 per cell]
3 Pr 0.2500 0.2500 0.2500 [4 per cell]
4 Dy 0.2500 0.2500 0.7500 [4 per cell]
5 Tm 0.0000 0.0046 0.7501 [8 per cell]
6 Tm 0.2485 0.2500 0.5046 [8 per cell]

- total energy (eV/atom) = -4.220
- magnetization (μB/f.u.) = 0.0
- energy of formation from the pure elements (eV per atom) = 0.402

***

Record 22
Compound: LaNd2NpN4
Source: Alexandria
Functional: PBE
Structure: relaxed

abc: 3.5456 13.4013 11.3614
angles: 90.00 90.00 90.00
Space group Cmcm (No. 63)
One atom of each set of equivalent atoms:
1 La 0.0000 0.2329 0.2500 [4 per cell]
2 Nd 0.0000 0.3738 0.5166 [8 per cell]
3 Np 0.0000 0.0395 0.7500 [4 per cell]
4 N 0.0000 0.0000 0.0000 [4 per cell]
5 N 0.0000 0.1999 0.6185 [8 per cell]
6 N 0.0000 0.4347 0.7500 [4 per cell]

- formation energy from raw total energies (eV/atom) = -1.06
- total energy (eV/atom) = -8.652
- magnetization (μB/f.u.) = 3.9